Computed, not measured: crystalline Nd4HN3 at its relaxed geometry at the PBE level of DFT.

It has space group Cmmm (No. 65), with a = 7.3694 Å, b = 10.2336 Å, c = 3.6434 Å, α = 90.00°, β = 90.00° and γ = 90.00°. The distinct sites, in fractional coordinates, are Nd at (0.0000, 0.2452, 0.0000), Nd at (0.2336, 0.0000, 0.5000), H at (0.0000, 0.5000, 0.0000), N at (0.0000, 0.0000, 0.0000) and N at (0.2500, 0.2500, 0.5000).

The energy above the most stable polymorph in this dataset comes out at 0 meV per atom.